## NpMo2H (PBE)

Data for an optimized crystal structure of NpMo2H.

Cell lengths 7.838, 7.838, 7.838 Å; angles 21.47, 21.47, 21.47 degrees
Positions (direct):
Np: 0.000 0.000 0.000
Mo: 0.118 0.118 0.118
Mo: 0.882 0.882 0.882
H: 0.500 0.500 0.500

Output
- calculated total energy (eV per formula unit) = -35.94

## Np5Mo3H12 (PBE)

Data for an optimized crystal structure of Np5Mo3H12.

Cell lengths 10.340, 10.340, 10.340 Å; angles 109.47, 109.47, 109.47 degrees
Positions (direct):
Np: 0.000 0.000 0.000
Np: 0.000 0.000 0.500
Np: 0.000 0.500 0.000
Np: 0.000 0.500 0.500
Np: 0.125 0.750 0.875
Np: 0.125 0.875 0.250
Np: 0.250 0.125 0.875
Np: 0.250 0.625 0.375
Np: 0.375 0.250 0.625
Np: 0.375 0.625 0.750
Np: 0.500 0.000 0.000
Np: 0.500 0.000 0.500
Np: 0.500 0.500 0.000
Np: 0.500 0.500 0.500
Np: 0.625 0.375 0.250
Np: 0.625 0.750 0.375
Np: 0.750 0.375 0.625
Np: 0.750 0.875 0.125
Np: 0.875 0.125 0.750
Np: 0.875 0.250 0.125
Mo: 0.125 0.250 0.375
Mo: 0.125 0.375 0.750
Mo: 0.250 0.375 0.125
Mo: 0.250 0.875 0.625
Mo: 0.375 0.125 0.250
Mo: 0.375 0.750 0.125
Mo: 0.625 0.250 0.875
Mo: 0.625 0.875 0.750
Mo: 0.750 0.125 0.375
Mo: 0.750 0.625 0.875
Mo: 0.875 0.625 0.250
Mo: 0.875 0.750 0.625
H: 0.070 0.742 0.646
H: 0.070 0.828 0.423
H: 0.077 0.672 0.430
H: 0.077 0.905 0.646
H: 0.095 0.242 0.172
H: 0.095 0.354 0.923
H: 0.146 0.242 0.570
H: 0.146 0.405 0.577
H: 0.172 0.095 0.242
H: 0.172 0.577 0.930
H: 0.242 0.172 0.095
H: 0.242 0.570 0.146
H: 0.258 0.354 0.930
H: 0.258 0.405 0.328
H: 0.328 0.258 0.405
H: 0.328 0.570 0.923
H: 0.354 0.923 0.095
H: 0.354 0.930 0.258
H: 0.405 0.328 0.258
H: 0.405 0.577 0.146
H: 0.423 0.070 0.828
H: 0.423 0.854 0.595
H: 0.430 0.077 0.672
H: 0.430 0.854 0.758
H: 0.570 0.146 0.242
H: 0.570 0.923 0.328
H: 0.577 0.146 0.405
H: 0.577 0.930 0.172
H: 0.595 0.423 0.854
H: 0.595 0.672 0.742
H: 0.646 0.070 0.742
H: 0.646 0.077 0.905
H: 0.672 0.430 0.077
H: 0.672 0.742 0.595
H: 0.742 0.595 0.672
H: 0.742 0.646 0.070
H: 0.758 0.430 0.854
H: 0.758 0.828 0.905
H: 0.828 0.423 0.070
H: 0.828 0.905 0.758
H: 0.854 0.595 0.423
H: 0.854 0.758 0.430
H: 0.905 0.646 0.077
H: 0.905 0.758 0.828
H: 0.923 0.095 0.354
H: 0.923 0.328 0.570
H: 0.930 0.172 0.577
H: 0.930 0.258 0.354

Output
- calculated total energy (eV per formula unit) = -133.40

## NpMoH (PBE)

Data for an optimized crystal structure of NpMoH.

Cell lengths 9.258, 3.348, 5.011 Å; angles 90.00, 90.00, 90.00 degrees
Positions (direct):
Np: 0.001 0.250 0.177
Np: 0.499 0.750 0.677
Np: 0.501 0.250 0.323
Np: 0.999 0.750 0.823
Mo: 0.250 0.250 0.753
Mo: 0.250 0.750 0.253
Mo: 0.750 0.250 0.747
Mo: 0.750 0.750 0.247
H: 0.065 0.750 0.416
H: 0.435 0.250 0.916
H: 0.565 0.750 0.084
H: 0.935 0.250 0.584

Output
- calculated total energy (eV per formula unit) = -26.68